# 1
Material: ZnIn4Pd7
Method: DFT, PBE
State: relaxed

a = 4.821 Å, b = 8.719 Å, c = 6.045 Å
α = 78.18°, β = 66.50°, γ = 73.95°
Fractional coordinates of all 12 atoms:
Pd 0.802 0.919 0.477
Pd 0.080 0.688 0.153
Pd 0.636 0.478 0.251
Pd 0.920 0.312 0.847
Pd 0.364 0.522 0.749
In 0.250 0.327 0.172
In 0.413 0.773 0.400
Pd 0.500 0.000 0.000
In 0.587 0.227 0.600
Zn 0.000 0.000 0.000
Pd 0.198 0.081 0.523
In 0.750 0.673 0.828

Summary:
As for the volume: 18.55 Å³/atom. The calculation puts the density at 9.5 g/cm3. The value obtained for the energy of formation is -0.353 eV per atom. Its crystal system is monoclinic.

# 2
Material: Nd2MgGa3Cu4
Method: DFT, PBE
State: relaxed

a = 4.261 Å, b = 4.261 Å, c = 10.289 Å
α = 90.00°, β = 90.00°, γ = 90.00°
Fractional coordinates of all 10 atoms:
Cu 0.000 0.000 0.000
Ga 0.000 0.500 0.125
Ga 0.000 0.000 0.500
Mg 0.500 0.500 0.500
Nd 0.000 0.500 0.767
Nd 0.500 0.000 0.233
Cu 0.500 0.000 0.641
Cu 0.500 0.500 0.000
Cu 0.000 0.500 0.359
Ga 0.500 0.000 0.875

Summary:
As for the volume: 18.68 Å³/atom. The calculation puts the density at 6.9 g/cm3. The value obtained for the energy of formation is -0.371 eV per atom. Its crystal system is tetragonal.

# 3
Material: MnIn2Hg
Method: DFT, PBE
State: relaxed

a = 9.529 Å, b = 9.529 Å, c = 9.529 Å
α = 20.06°, β = 20.06°, γ = 20.06°
Site moments in Bohr magnetons follow the coordinates.
Fractional coordinates of all 4 atoms:
Hg 0.750 0.750 0.750  -0.01
Mn 0.250 0.250 0.250  3.65
In 0.993 0.993 0.993  -0.02
In 0.507 0.507 0.507  -0.02

Summary:
As for the volume: 22.26 Å³/atom. The calculation puts the density at 9.0 g/cm3. The value obtained for the energy of formation is 0.210 eV per atom. Its crystal system is trigonal.

# 4
Material: La3Br3N2
Method: DFT, PBE
State: relaxed

a = 4.083 Å, b = 7.761 Å, c = 13.815 Å
α = 90.00°, β = 90.00°, γ = 105.25°
Fractional coordinates of all 16 atoms:
N 0.767 0.535 0.586
La 0.343 0.686 0.532
La 0.657 0.314 0.468
La 0.657 0.314 0.032
Br 0.932 0.863 0.379
La 0.718 0.436 0.750
N 0.233 0.465 0.086
La 0.282 0.564 0.250
Br 0.068 0.137 0.621
Br 0.629 0.257 0.250
N 0.767 0.535 0.914
Br 0.068 0.137 0.879
Br 0.371 0.743 0.750
N 0.233 0.465 0.414
Br 0.932 0.863 0.121
La 0.343 0.686 0.968

Summary:
As for the volume: 26.40 Å³/atom. The formation energy (no corrections) comes out at -1.77 eV/atom. The calculation puts the density at 5.4 g/cm3. Its crystal system is orthorhombic.

# 5
Material: NaTmF4
Method: DFT, PBE
State: relaxed

a = 3.769 Å, b = 3.769 Å, c = 5.538 Å
α = 90.00°, β = 90.00°, γ = 90.00°
Fractional coordinates of all 6 atoms:
Tm 0.500 0.500 0.500
F 0.500 0.000 0.273
F 0.000 0.500 0.727
F 0.000 0.500 0.273
F 0.500 0.000 0.727
Na 0.000 0.000 0.000

Summary:
As for the volume: 13.11 Å³/atom. The formation energy (no corrections) comes out at -3.73 eV/atom. The calculation puts the density at 5.7 g/cm3. Its crystal system is tetragonal.

# 6
Material: Ba2Hg5Pd5
Method: DFT, PBE
State: relaxed

a = 4.506 Å, b = 6.100 Å, c = 10.257 Å
α = 90.00°, β = 90.00°, γ = 90.00°
Fractional coordinates of all 12 atoms:
Hg 0.500 0.500 0.500
Hg 0.500 0.248 0.238
Pd 0.000 0.500 0.334
Ba 0.000 0.500 0.000
Pd 0.000 0.000 0.838
Pd 0.000 0.000 0.162
Pd 0.000 0.500 0.666
Ba 0.000 0.000 0.500
Hg 0.500 0.752 0.762
Hg 0.500 0.248 0.762
Hg 0.500 0.752 0.238
Pd 0.500 0.000 0.000

Summary:
As for the volume: 23.49 Å³/atom. The calculation puts the density at 10.7 g/cm3. The value obtained for the energy of formation is -0.403 eV per atom. Its crystal system is orthorhombic.